1.
Material: BaTiSe2
Method: DFT, PBE
State: relaxed

abc: 6.5934 6.5934 7.9135
angles: 65.38 65.38 90.00
Last column: nearest neighbours and their distance in Å.
Sites, in units of the cell vectors:
Ba (0.0000, 0.0000, 0.0000)  4 Se 3.19
Ba (0.7500, 0.2500, 0.5000)  4 Se 3.19
Se (0.5381, 0.1250, 0.2500)  2 Ti 2.54
Se (0.2119, 0.6250, 0.2500)  2 Ti 2.54
Se (0.3750, 0.4619, 0.7500)  2 Ti 2.54
Se (0.8750, 0.7881, 0.7500)  2 Ti 2.54
Ti (0.5000, 0.5000, 0.0000)  4 Se 2.54
Ti (0.2500, 0.7500, 0.5000)  4 Se 2.54

ρ: 4.10 Mg/m³
crystal system: tetragonal
SG: No. 122
magnetization: 4.0 Bohr magnetons per cell
final energy: -5.36 eV per atom

---

2.
Material: BaTiSe2
Method: DFT, PBE
State: relaxed

abc: 9.5290 9.5290 9.5290
angles: 23.35 23.35 23.35
Last column: nearest neighbours and their distance in Å.
Sites, in units of the cell vectors:
Ba (0.5000, 0.5000, 0.5000)  2 Se 3.20
Se (0.3850, 0.3850, 0.3850)  3 Ti 2.65
Se (0.6150, 0.6150, 0.6150)  3 Ti 2.65
Ti (0.0000, 0.0000, 0.0000)  6 Se 2.65

ρ: 4.77 Mg/m³
crystal system: trigonal
SG: No. 166
magnetization: 1.1 Bohr magnetons per cell
final energy: -5.14 eV per atom

---

3.
Material: BaTi4Se8
Method: DFT, PBE
State: relaxed

abc: 7.9187 7.9187 7.9187
angles: 60.00 60.00 60.00
Last column: nearest neighbours and their distance in Å.
Sites, in units of the cell vectors:
Ba (0.7500, 0.7500, 0.7500)  4 Se 2.91
Ti (0.9057, 0.3648, 0.3648)  6 Se 2.59-2.69
Ti (0.3648, 0.9057, 0.3648)  6 Se 2.59-2.69
Ti (0.3648, 0.3648, 0.9057)  6 Se 2.59-2.69
Ti (0.3648, 0.3648, 0.3648)  6 Se 2.59-2.69
Se (0.5997, 0.1334, 0.1334)  3 Ti 2.59
Se (0.1334, 0.5997, 0.1334)  3 Ti 2.59
Se (0.1334, 0.1334, 0.5997)  3 Ti 2.59
Se (0.1334, 0.1334, 0.1334)  3 Ti 2.59
Se (0.2002, 0.5999, 0.5999)  3 Ti 2.69, 1 Ba 2.91
Se (0.5999, 0.2002, 0.5999)  3 Ti 2.69, 1 Ba 2.91
Se (0.5999, 0.5999, 0.2002)  3 Ti 2.69, 1 Ba 2.91
Se (0.5999, 0.5999, 0.5999)  3 Ti 2.69, 1 Ba 2.91

ρ: 4.54 Mg/m³
crystal system: cubic
SG: No. 216
magnetization: 2.0 Bohr magnetons per cell
final energy: -5.80 eV per atom

---

4.
Material: Ba2UTiSe6
Method: DFT, PBE
State: relaxed

abc: 7.4403 7.4406 10.5242
angles: 90.00 90.00 90.00
Last column: nearest neighbours and their distance in Å.
Sites, in units of the cell vectors:
Ba (0.5000, 0.7496, 0.2499)  12 Se 3.72
Ba (0.0000, 0.2504, 0.7499)  12 Se 3.72
Ba (0.5000, 0.7496, 0.7501)  12 Se 3.72
Ba (0.0000, 0.2504, 0.2501)  12 Se 3.72
U (0.0000, 0.7493, 0.5000)  6 Se 2.71
U (0.5000, 0.2507, 0.0000)  6 Se 2.71
Ti (0.5000, 0.2491, 0.5000)  6 Se 2.55
Ti (0.0000, 0.7509, 0.0000)  6 Se 2.55
Se (0.5000, 0.2500, 0.2577)  1 Ti 2.55, 1 U 2.71
Se (0.5000, 0.2500, 0.7423)  1 Ti 2.55, 1 U 2.71
Se (0.0000, 0.7500, 0.2423)  1 Ti 2.55, 1 U 2.71
Se (0.0000, 0.7500, 0.7577)  1 Ti 2.55, 1 U 2.71
Se (0.2578, 0.0069, 0.5000)  1 Ti 2.55, 1 U 2.71
Se (0.7422, 0.0069, 0.5000)  1 Ti 2.55, 1 U 2.71
Se (0.2576, 0.4915, 0.5000)  1 Ti 2.55, 1 U 2.71
Se (0.7424, 0.4915, 0.5000)  1 Ti 2.55, 1 U 2.71
Se (0.7576, 0.5085, 0.0000)  1 Ti 2.55, 1 U 2.71
Se (0.2424, 0.5085, 0.0000)  1 Ti 2.55, 1 U 2.71
Se (0.2422, 0.9931, 0.0000)  1 Ti 2.55, 1 U 2.71
Se (0.7578, 0.9931, 0.0000)  1 Ti 2.55, 1 U 2.71

ρ: 5.90 Mg/m³
crystal system: orthorhombic
SG: No. 59
magnetization: 4.0 Bohr magnetons per cell
final energy: -5.87 eV per atom

---

5.
Material: Ba2TiVSe
Method: DFT, PBE
State: relaxed

abc: 6.1571 4.3326 6.1571
angles: 90.00 90.00 90.00
Last column: nearest neighbours and their distance in Å.
Sites, in units of the cell vectors:
Ti (0.0000, 0.0000, 0.0000)  2 V 2.17
Ba (0.0000, 0.0000, 0.5000)  2 Ti 3.08
Ba (0.5000, 0.0000, 0.0000)  2 Ti 3.08
Se (0.5000, 0.5000, 0.5000)  8 Ba 3.76
V (0.0000, 0.5000, 0.0000)  2 Ti 2.17

ρ: 4.57 Mg/m³
crystal system: tetragonal
SG: No. 123
magnetization: 0.6 Bohr magnetons per cell
final energy: -4.46 eV per atom

---

6.
Material: Ba3TlSe4
Method: DFT, PBE
State: relaxed

abc: 4.6516 4.6516 13.2303
angles: 90.00 90.00 90.00
Last column: nearest neighbours and their distance in Å.
Sites, in units of the cell vectors:
Tl (0.0000, 0.0000, 0.0000)  6 Se 3.27-3.29
Ba (0.5000, 0.5000, 0.7545)  6 Se 3.25-3.37
Ba (0.0000, 0.0000, 0.5000)  6 Se 3.29-3.35
Ba (0.5000, 0.5000, 0.2455)  6 Se 3.25-3.37
Se (0.0000, 0.0000, 0.2471)  1 Tl 3.27, 5 Ba 3.29-3.35
Se (0.5000, 0.5000, 0.0000)  2 Ba 3.25, 4 Tl 3.29
Se (0.0000, 0.0000, 0.7529)  1 Tl 3.27, 5 Ba 3.29-3.35
Se (0.5000, 0.5000, 0.5000)  6 Ba 3.29-3.37

ρ: 5.41 Mg/m³
crystal system: tetragonal
SG: No. 123
magnetization: 0.0 Bohr magnetons per cell
final energy: -4.31 eV per atom

---

7.
Material: BaTlSe2
Method: DFT, PBE
State: relaxed

abc: 6.8210 6.8210 8.8718
angles: 67.39 67.39 90.00
Last column: nearest neighbours and their distance in Å.
Sites, in units of the cell vectors:
Tl (0.0000, 0.0000, 0.0000)  4 Se 2.91
Tl (0.7500, 0.2500, 0.5000)  4 Se 2.91
Ba (0.5000, 0.5000, 0.0000)  4 Se 3.20
Ba (0.2500, 0.7500, 0.5000)  4 Se 3.20
Se (0.6643, 0.1250, 0.2500)  2 Tl 2.91, 2 Ba 3.20
Se (0.0857, 0.6250, 0.2500)  2 Tl 2.91, 2 Ba 3.20
Se (0.3750, 0.3357, 0.7500)  2 Tl 2.91, 2 Ba 3.20
Se (0.8750, 0.9143, 0.7500)  2 Tl 2.91, 2 Ba 3.20

ρ: 4.79 Mg/m³
crystal system: tetragonal
SG: No. 122
magnetization: 0.0 Bohr magnetons per cell
final energy: -3.79 eV per atom

---

8.
Material: BaTlSe2
Method: DFT, PBE
State: relaxed

abc: 5.3813 5.3813 4.2442
angles: 90.00 90.00 100.53
Last column: nearest neighbours and their distance in Å.
Sites, in units of the cell vectors:
Ba (0.0000, 0.5000, 0.5000)  8 Se 3.43, 2 Tl 3.44
Se (0.0000, 0.0000, 0.0000)  4 Tl 3.43, 4 Ba 3.43, 2 Se 3.44
Se (0.5000, 0.5000, 0.0000)  4 Ba 3.43, 4 Tl 3.43, 2 Se 3.44
Tl (0.5000, 0.0000, 0.5000)  8 Se 3.43, 2 Ba 3.44

ρ: 6.87 Mg/m³
crystal system: orthorhombic
SG: No. 65
magnetization: 0.0 Bohr magnetons per cell
final energy: -3.81 eV per atom

---

9.
Material: Ba6Tl2Se
Method: DFT, PBE
State: relaxed

abc: 8.1076 9.0713 12.0882
angles: 90.00 89.46 90.00
Last column: nearest neighbours and their distance in Å.
Sites, in units of the cell vectors:
Ba (0.1272, 0.0401, 0.2489)  1 Se 3.22, 2 Tl 3.55-3.57
Ba (0.1736, 0.3140, 0.5626)  1 Se 3.27, 1 Tl 3.59
Ba (0.1762, 0.3160, 0.9327)  1 Se 3.22, 1 Tl 3.56
Ba (0.3238, 0.8160, 0.5673)  1 Se 3.22, 1 Tl 3.56
Ba (0.3264, 0.8140, 0.9374)  1 Se 3.27, 1 Tl 3.59
Ba (0.3728, 0.5401, 0.2511)  1 Se 3.22, 2 Tl 3.55-3.57
Ba (0.8728, 0.9599, 0.7511)  1 Se 3.22, 2 Tl 3.55-3.57
Ba (0.8264, 0.6860, 0.4374)  1 Se 3.27, 1 Tl 3.59
Ba (0.8238, 0.6840, 0.0673)  1 Se 3.22, 1 Tl 3.56
Ba (0.6762, 0.1840, 0.4327)  1 Se 3.22, 1 Tl 3.56
Ba (0.6736, 0.1860, 0.0626)  1 Se 3.27, 1 Tl 3.59
Ba (0.6272, 0.4599, 0.7489)  1 Se 3.22, 2 Tl 3.55-3.57
Tl (0.0392, 0.5976, 0.7502)  6 Ba 3.55-3.81
Tl (0.4608, 0.0976, 0.7498)  6 Ba 3.55-3.81
Tl (0.5392, 0.9024, 0.2502)  6 Ba 3.55-3.81
Tl (0.9608, 0.4024, 0.2498)  6 Ba 3.55-3.81
Se (0.5000, 0.5000, 0.0000)  6 Ba 3.22-3.27
Se (0.0000, 0.0000, 0.5000)  6 Ba 3.22-3.27

ρ: 4.90 Mg/m³
crystal system: monoclinic
SG: No. 14
magnetization: 2.2 Bohr magnetons per cell
final energy: -2.81 eV per atom

---

10.
Material: BaTlSe2
Method: DFT, PBE
State: relaxed

abc: 5.5267 5.5267 5.5267
angles: 60.00 60.00 60.00
Last column: nearest neighbours and their distance in Å.
Sites, in units of the cell vectors:
Ba (0.5000, 0.5000, 0.5000)  4 Tl 3.38, 4 Se 3.38
Se (0.0000, 0.0000, 0.0000)  4 Tl 3.38, 4 Se 3.38
Se (0.2500, 0.2500, 0.2500)  4 Se 3.38, 4 Ba 3.38
Tl (0.7500, 0.7500, 0.7500)  4 Ba 3.38, 4 Se 3.38

ρ: 6.95 Mg/m³
crystal system: cubic
SG: No. 216
magnetization: 0.0 Bohr magnetons per cell
final energy: -3.44 eV per atom

---

11.
Material: Ba4TlSe5
Method: DFT, PBE
State: relaxed

abc: 6.6161 8.1138 8.1138
angles: 80.43 65.94 65.94
Last column: nearest neighbours and their distance in Å.
Sites, in units of the cell vectors:
Ba (0.3991, 0.4009, 0.8026)  6 Se 3.30-3.36
Ba (0.8000, 0.8026, 0.5991)  6 Se 3.30-3.36
Ba (0.2017, 0.1974, 0.4009)  6 Se 3.30-3.36
Ba (0.6026, 0.5991, 0.1974)  6 Se 3.30-3.36
Tl (0.0275, 0.0000, 0.0000)  5 Se 2.98-3.29
Se (0.9015, 0.3968, 0.8008)  1 Tl 3.29, 5 Ba 3.30-3.36
Se (0.2983, 0.8008, 0.6032)  1 Tl 3.29, 5 Ba 3.30-3.36
Se (0.7023, 0.1992, 0.3968)  1 Tl 3.29, 5 Ba 3.30-3.36
Se (0.0991, 0.6032, 0.1992)  1 Tl 3.29, 5 Ba 3.30-3.36
Se (0.4782, 0.0000, 0.0000)  1 Tl 2.98, 4 Ba 3.31

ρ: 5.25 Mg/m³
crystal system: tetragonal
SG: No. 79
magnetization: 0.0 Bohr magnetons per cell
final energy: -4.39 eV per atom

---

12.
Material: BaTlSe2
Method: DFT, PBE
State: relaxed

abc: 4.5089 4.5089 8.0430
angles: 73.72 73.72 60.00
Last column: nearest neighbours and their distance in Å.
Sites, in units of the cell vectors:
Ba (0.4995, 0.4995, 0.5015)  6 Se 3.29
Tl (0.6685, 0.6685, 0.9946)  6 Se 3.13-3.19
Se (0.0779, 0.0779, 0.7664)  3 Tl 3.13, 3 Ba 3.29
Se (0.2542, 0.2542, 0.2375)  3 Tl 3.19, 3 Ba 3.29

ρ: 6.19 Mg/m³
crystal system: trigonal
SG: No. 160
magnetization: 0.0 Bohr magnetons per cell
final energy: -3.81 eV per atom